ZnTePdPb2, optimized geometry, DFT PBE; ΔE_f (raw) = 242 meV per atom; Fermi-level density of states = 0.823 states/eV per atom; DFT total energy = -3.16 eV/atom; mass density = 8353 kg/m³; space group = P4/mmm (123)
1.0
5.473 0.000 0.000
0.000 5.473 0.000
0.000 0.000 4.737
Zn Te Pd Pb
1 1 1 2
Direct
0.000 0.000 0.000
0.500 0.500 0.500
0.000 0.000 0.500
0.000 0.500 0.000
0.500 0.000 0.000